1.
The following is a PBE calculation of a geometry-optimized NaMgGa2Sn structure, from the Alexandria database.

Cell and atoms, written as extended XYZ:
```
5
Lattice="4.4585 0.0000 0.0000 0.0000 4.4713 0.0000 -2.2292 -2.2356 6.0123" Properties=species:S:1:pos:R:3 pbc="T T T"
Mg 0.0000 2.2356 2.2492
Ga 0.0000 0.0000 0.7000
Sn 2.2292 2.2356 4.0442
Ga 2.2292 0.0000 2.1927
Na 0.0000 0.0000 5.3894
```

Properties
- Energy of formation: -131.6 meV/atom
- E_tot: -2.726 eV per atom

2.
The following is a PBE calculation of a geometry-optimized Tb3HfGa12 structure, from the Alexandria database.

Cell and atoms, written as extended XYZ:
```
16
Lattice="4.2307 0.0000 0.0000 0.0000 4.2307 0.0000 0.0000 0.0000 17.0306" Properties=species:S:1:pos:R:3 pbc="T T T"
Ga 2.1154 2.1154 0.0000
Ga 0.0000 2.1154 15.0140
Ga 2.1154 2.1154 12.7857
Hf 0.0000 0.0000 0.0000
Ga 0.0000 2.1154 2.0166
Ga 2.1154 2.1154 8.5153
Ga 2.1154 0.0000 10.6854
Ga 2.1154 0.0000 2.0166
Tb 0.0000 0.0000 4.1481
Ga 2.1154 2.1154 4.2448
Tb 0.0000 0.0000 8.5153
Ga 2.1154 0.0000 15.0140
Ga 0.0000 2.1154 6.3451
Ga 2.1154 0.0000 6.3451
Tb 0.0000 0.0000 12.8825
Ga 0.0000 2.1154 10.6854
```

Properties
- Energy of formation: -499.0 meV/atom
- E_tot: -4.259 eV per atom

3.
The following is a PBE calculation of a geometry-optimized CoSiPCl2 structure, from the Alexandria database.

Cell and atoms, written as extended XYZ:
```
5
Lattice="-2.8520 -2.4913 -2.5381 -0.0516 -3.2241 3.2226 -3.8210 2.1971 2.1369" Properties=species:S:1:pos:R:3 pbc="T T T"
Si 0.0000 0.0000 0.0000
Co -3.3623 -1.7591 1.4107
Cl -1.4260 -1.2456 -1.2691
Cl -0.0258 -1.6120 1.6113
P -1.9105 1.0986 1.0684
```

Properties
- Excess energy over the best structure of this formula in the dataset: 195.3 meV per atom
- Formation energy from raw total energies: 632 meV/atom
- E_tot: -3.694 eV per atom